(1)
The following is a DFT calculation (PBE) of a relaxed structure of Nd6SmTm3.

Computed properties:
The value obtained for the spin magnetization is 0.0000 μB/atom. As for the energy: -0.166 hartree per atom. The calculation puts the distance to the lowest polymorph of the same formula at 16 meV/atom. Its formation energy is 0.14 eV/atom. Its space-group type is Cmc2_1, No. 36. The density of states at the Fermi level comes out at 14.2 states/eV/f.u.

Cell lengths 11.1104, 11.1104, 6.3554 Å; angles 90.00, 90.00, 120.75 degrees
With the nearest neighbours (Å) after each atom.
Element x y z (fractional)
Nd  0.0358  0.9642  0.5000  1 Sm 3.40, 4 Nd 3.47-3.79, 4 Tm 3.51-3.58
Nd  0.0582  0.4771  0.0149  1 Nd 3.14, 1 Tm 3.31, 1 Sm 3.34
Nd  0.2816  0.7184  0.7292  2 Nd 3.14, 1 Sm 3.37, 1 Tm 3.41
Nd  0.2901  0.3716  0.8324  4 Tm 3.49-3.75, 5 Nd 3.53-3.79
Nd  0.3716  0.2901  0.3324  4 Tm 3.49-3.75, 5 Nd 3.53-3.79
Nd  0.4771  0.0582  0.5149  1 Nd 3.14, 1 Tm 3.31, 1 Sm 3.34
Nd  0.5229  0.9418  0.0149  1 Nd 3.14, 1 Tm 3.31, 1 Sm 3.34
Nd  0.6284  0.7099  0.8324  4 Tm 3.49-3.75, 5 Nd 3.53-3.79
Nd  0.7099  0.6284  0.3324  4 Tm 3.49-3.75, 5 Nd 3.53-3.79
Nd  0.7184  0.2816  0.2292  2 Nd 3.14, 1 Sm 3.37, 1 Tm 3.41
Nd  0.9418  0.5229  0.5149  1 Nd 3.14, 1 Tm 3.31, 1 Sm 3.34
Nd  0.9642  0.0358  0.0000  1 Sm 3.40, 4 Nd 3.47-3.79, 4 Tm 3.51-3.58
Sm  0.1949  0.8051  0.2692  3 Tm 3.31-3.67, 6 Nd 3.34-3.54
Sm  0.8051  0.1949  0.7692  3 Tm 3.31-3.67, 6 Nd 3.34-3.54
Tm  0.0560  0.2860  0.4154  6 Nd 3.31-3.58, 1 Sm 3.31, 1 Tm 3.70
Tm  0.2860  0.0560  0.9154  6 Nd 3.31-3.58, 1 Sm 3.31, 1 Tm 3.70
Tm  0.3848  0.6152  0.2931  7 Nd 3.41-3.75, 1 Sm 3.67, 2 Tm 3.70
Tm  0.6152  0.3848  0.7931  7 Nd 3.41-3.75, 1 Sm 3.67, 2 Tm 3.70
Tm  0.7140  0.9440  0.4154  6 Nd 3.31-3.58, 1 Sm 3.31, 1 Tm 3.70
Tm  0.9440  0.7140  0.9154  6 Nd 3.31-3.58, 1 Sm 3.31, 1 Tm 3.70


(2)
The following is a DFT calculation (PBE) of a relaxed structure of LiIn4Ir.

Computed properties:
The value obtained for the spin magnetization is 0.0000 μB/atom. As for the energy: -0.117 hartree per atom. Its formation energy is 0.45 eV/atom. Its space-group type is F-43m, No. 216. The density of states at the Fermi level comes out at 4.8 states/eV/f.u.

Cell lengths 5.7759, 5.7759, 5.7759 Å; angles 60.00, 60.00, 60.00 degrees
With the nearest neighbours (Å) after each atom.
Element x y z (fractional)
Li  0.0000  0.0000  0.0000  12 In 3.39, 4 Ir 3.54
In  0.1263  0.6246  0.6246  6 In 2.88-2.90
In  0.6246  0.1263  0.6246  6 In 2.88-2.90
In  0.6246  0.6246  0.1263  6 In 2.88-2.90
In  0.6246  0.6246  0.6246  6 In 2.88-2.90
Ir  0.2500  0.2500  0.2500  12 In 3.39, 4 Li 3.54


(3)
The following is a DFT calculation (PBE) of a relaxed structure of NdTmGe.

Computed properties:
The value obtained for the spin magnetization is 0.0000 μB/atom. As for the energy: -0.185 hartree per atom. Its formation energy is -0.43 eV/atom. Its space-group type is P3m1, No. 156. The density of states at the Fermi level comes out at 1.4 states/eV/f.u.

Cell lengths 4.7527, 4.7527, 4.2560 Å; angles 90.00, 90.00, 120.00 degrees
With the nearest neighbours (Å) after each atom.
Element x y z (fractional)
Nd  0.0000  0.0000  0.0000  3 Ge 3.26, 6 Tm 3.43-3.52
Tm  0.3333  0.6667  0.5172  3 Ge 2.78
Ge  0.6667  0.3333  0.4125  3 Tm 2.78


(4)
The following is a DFT calculation (PBE) of a relaxed structure of Ce2PrH6.

Computed properties:
The value obtained for the spin magnetization is 0.1887 μB/atom. As for the energy: -0.171 hartree per atom. Its space-group type is Immm, No. 71. The density of states at the Fermi level comes out at 14.5 states/eV/f.u.

Cell lengths 6.7076, 6.7076, 6.7076 Å; angles 146.49, 131.74, 60.03 degrees
With the nearest neighbours (Å) after each atom.
Element x y z (fractional)
Ce  0.1673  0.1673  0.0000  8 H 2.36
Ce  0.8327  0.8327  0.0000  8 H 2.36
Pr  0.5000  0.5000  0.0000  8 H 2.39-2.40
H  0.0786  0.3318  0.7468  3 Ce 2.36, 1 Pr 2.40
H  0.2434  0.0000  0.2434  2 Ce 2.36, 2 Pr 2.39
H  0.4150  0.6682  0.7468  3 Ce 2.36, 1 Pr 2.40
H  0.5850  0.3318  0.2532  3 Ce 2.36, 1 Pr 2.40
H  0.7566  0.0000  0.7566  2 Ce 2.36, 2 Pr 2.39
H  0.9214  0.6682  0.2532  3 Ce 2.36, 1 Pr 2.40


(5)
The following is a DFT calculation (PBE) of a relaxed structure of Tm2TiAl2Pt5.

Computed properties:
The value obtained for the spin magnetization is 0.0000 μB/atom. As for the energy: -0.239 hartree per atom. Its formation energy is -1.05 eV/atom. Its space-group type is P4/mbm, No. 127. The density of states at the Fermi level comes out at 5.4 states/eV/f.u.

Cell lengths 9.9501, 9.9501, 3.5522 Å; angles 90.00, 90.00, 90.00 degrees
With the nearest neighbours (Å) after each atom.
Element x y z (fractional)
Tm  0.1748  0.3252  0.0000  3 Al 2.80-3.03, 6 Pt 3.03-3.12
Tm  0.3252  0.8252  0.0000  3 Al 2.80-3.03, 6 Pt 3.03-3.12
Tm  0.6748  0.1748  0.0000  3 Al 2.80-3.03, 6 Pt 3.03-3.12
Tm  0.8252  0.6748  0.0000  3 Al 2.80-3.03, 6 Pt 3.03-3.12
Ti  0.0000  0.0000  0.0000  8 Pt 2.73
Ti  0.5000  0.5000  0.0000  8 Pt 2.73
Al  0.1259  0.6259  0.0000  6 Pt 2.51-2.57, 1 Tm 2.80
Al  0.3741  0.1259  0.0000  6 Pt 2.51-2.57, 1 Tm 2.80
Al  0.6259  0.8741  0.0000  6 Pt 2.51-2.57, 1 Tm 2.80
Al  0.8741  0.3741  0.0000  6 Pt 2.51-2.57, 1 Tm 2.80
Pt  0.0000  0.5000  0.5000  4 Al 2.51
Pt  0.0520  0.7979  0.5000  2 Al 2.57, 2 Ti 2.73
Pt  0.2021  0.0520  0.5000  2 Al 2.57, 2 Ti 2.73
Pt  0.2979  0.5520  0.5000  2 Al 2.57, 2 Ti 2.73
Pt  0.4480  0.2979  0.5000  2 Al 2.57, 2 Ti 2.73
Pt  0.5000  0.0000  0.5000  4 Al 2.51
Pt  0.5520  0.7021  0.5000  2 Al 2.57, 2 Ti 2.73
Pt  0.7021  0.4480  0.5000  2 Al 2.57, 2 Ti 2.73
Pt  0.7979  0.9480  0.5000  2 Al 2.57, 2 Ti 2.73
Pt  0.9480  0.2021  0.5000  2 Al 2.57, 2 Ti 2.73